No. 1
Entry from Alexandria via LeMat-Bulk: crystalline SmErTlPd at its relaxed geometry (PBE-GGA).

Computed properties:
Total moment = 0.00 Bohr magnetons per cell
V = 25.0 A^3/atom
Final energy = -4.736 eV per atom

```
data_SmErTlPd
_space_group_name_H-M_alt 'F -4 3 m'
_space_group_IT_number 216
_space_group_name_Hall 'F -4 2 3'
_cell_length_a 7.367
_cell_length_b 7.367
_cell_length_c 7.367
_cell_angle_alpha 90.00
_cell_angle_beta 90.00
_cell_angle_gamma 90.00
loop_
_atom_site_label
_atom_site_type_symbol
_atom_site_fract_x
_atom_site_fract_y
_atom_site_fract_z
Sm1 Sm 0.000 0.000 0.000
Er1 Er 0.000 0.000 0.500
Tl1 Tl 0.250 0.250 0.250
Pd1 Pd 0.250 0.250 0.750
```

***

No. 2
Entry from Alexandria via LeMat-Bulk: crystalline ErSn4Pd15 at its relaxed geometry (PBE-GGA).

Computed properties:
Total moment = 0.00 Bohr magnetons per cell
V = 16.7 A^3/atom
Final energy = -5.509 eV per atom

```
data_ErSn4Pd15
_space_group_name_H-M_alt 'P 4/m m m'
_space_group_IT_number 123
_space_group_name_Hall '-P 4 2'
_cell_length_a 4.058
_cell_length_b 4.058
_cell_length_c 20.232
_cell_angle_alpha 90.00
_cell_angle_beta 90.00
_cell_angle_gamma 90.00
loop_
_atom_site_label
_atom_site_type_symbol
_atom_site_fract_x
_atom_site_fract_y
_atom_site_fract_z
Er1 Er 0.000 0.000 0.000
Sn1 Sn 0.000 0.000 0.202
Sn2 Sn 0.000 0.000 0.401
Pd1 Pd 0.000 0.500 0.103
Pd2 Pd 0.000 0.500 0.301
Pd3 Pd 0.000 0.500 0.500
Pd4 Pd 0.500 0.500 0.000
Pd5 Pd 0.500 0.500 0.202
Pd6 Pd 0.500 0.500 0.401
```

***

No. 3
Entry from Alexandria via LeMat-Bulk: crystalline Er12SnPd6 at its relaxed geometry (PBE-GGA).

Computed properties:
Total moment = 0.00 Bohr magnetons per cell
E above lowest polymorph = 0.000 eV per atom
V = 25.3 A^3/atom
Final energy = -5.401 eV per atom

```
data_Er12SnPd6
_space_group_name_H-M_alt 'I m -3'
_space_group_IT_number 204
_space_group_name_Hall '-I 2 2 3'
_cell_length_a 9.870
_cell_length_b 9.870
_cell_length_c 9.870
_cell_angle_alpha 90.00
_cell_angle_beta 90.00
_cell_angle_gamma 90.00
loop_
_atom_site_label
_atom_site_type_symbol
_atom_site_fract_x
_atom_site_fract_y
_atom_site_fract_z
Er1 Er 0.000 0.297 0.184
Sn1 Sn 0.000 0.000 0.000
Pd1 Pd 0.000 0.138 0.500
```

***

No. 4
Entry from Alexandria via LeMat-Bulk: crystalline Er2Sn2Pd5 at its relaxed geometry (PBE-GGA).

Computed properties:
Total moment = 0.00 Bohr magnetons per cell
V = 21.0 A^3/atom
Final energy = -5.449 eV per atom

```
data_Er2Sn2Pd5
_space_group_name_H-M_alt 'I m a 2'
_space_group_IT_number 46
_cell_length_a 15.178
_cell_length_b 7.169
_cell_length_c 6.933
_cell_angle_alpha 90.00
_cell_angle_beta 90.00
_cell_angle_gamma 90.00
loop_
_space_group_symop_operation_xyz
'x,y,z'
'-x,-y,z'
'-x+1/2,y,z'
'x+1/2,-y,z'
'x+1/2,y+1/2,z+1/2'
'-x+1/2,-y+1/2,z+1/2'
'-x,y+1/2,z+1/2'
'x,-y+1/2,z+1/2'
loop_
_atom_site_label
_atom_site_type_symbol
_atom_site_fract_x
_atom_site_fract_y
_atom_site_fract_z
Er1 Er 0.119 0.067 0.000
Sn1 Sn 0.000 0.000 0.609
Sn2 Sn 0.250 0.533 0.865
Pd1 Pd 0.007 0.686 0.790
Pd2 Pd 0.162 0.676 0.168
Pd3 Pd 0.250 0.192 0.697
```

***

No. 5
Entry from Alexandria via LeMat-Bulk: crystalline ErSnPd2 at its relaxed geometry (PBE-GGA).

Computed properties:
Total moment = 0.00 Bohr magnetons per cell
V = 19.3 A^3/atom
Final energy = -5.620 eV per atom

```
data_ErSnPd2
_space_group_name_H-M_alt 'I 4/m m m'
_space_group_IT_number 139
_space_group_name_Hall '-I 4 2'
_cell_length_a 4.781
_cell_length_b 4.781
_cell_length_c 6.754
_cell_angle_alpha 90.00
_cell_angle_beta 90.00
_cell_angle_gamma 90.00
loop_
_atom_site_label
_atom_site_type_symbol
_atom_site_fract_x
_atom_site_fract_y
_atom_site_fract_z
Er1 Er 0.000 0.000 0.000
Sn1 Sn 0.000 0.000 0.500
Pd1 Pd 0.000 0.500 0.250
```

***

No. 6
Entry from Alexandria via LeMat-Bulk: crystalline ErSn3Pd6 at its relaxed geometry (PBE-GGA).

Computed properties:
Total moment = 0.00 Bohr magnetons per cell
V = 19.4 A^3/atom
Final energy = -5.351 eV per atom

```
data_ErSn3Pd6
_space_group_name_H-M_alt 'P 1 21/m 1'
_space_group_IT_number 11
_cell_length_a 9.216
_cell_length_b 3.860
_cell_length_c 11.220
_cell_angle_alpha 90.00
_cell_angle_beta 102.97
_cell_angle_gamma 90.00
loop_
_space_group_symop_operation_xyz
'x,y,z'
'-x,-y,-z'
'-x,y+1/2,-z'
'x,-y+1/2,z'
loop_
_atom_site_label
_atom_site_type_symbol
_atom_site_fract_x
_atom_site_fract_y
_atom_site_fract_z
Er1 Er 0.027 0.250 0.232
Sn1 Sn 0.127 0.250 0.586
Sn2 Sn 0.290 0.750 0.937
Sn3 Sn 0.391 0.250 0.317
Pd1 Pd 0.097 0.250 0.976
Pd2 Pd 0.189 0.750 0.423
Pd3 Pd 0.226 0.750 0.170
Pd4 Pd 0.306 0.750 0.704
Pd5 Pd 0.424 0.250 0.560
Pd6 Pd 0.431 0.250 0.085
```

***

No. 7
Entry from Alexandria via LeMat-Bulk: crystalline ErSn3Pd3 at its relaxed geometry (PBE-GGA).

Computed properties:
Total moment = 0.00 Bohr magnetons per cell
V = 27.2 A^3/atom
Final energy = -4.631 eV per atom

```
data_ErSn3Pd3
_space_group_name_H-M_alt 'P m -3 n'
_space_group_IT_number 223
_space_group_name_Hall '-P 4n 2 3'
_cell_length_a 7.244
_cell_length_b 7.244
_cell_length_c 7.244
_cell_angle_alpha 90.00
_cell_angle_beta 90.00
_cell_angle_gamma 90.00
loop_
_atom_site_label
_atom_site_type_symbol
_atom_site_fract_x
_atom_site_fract_y
_atom_site_fract_z
Er1 Er 0.000 0.000 0.000
Sn1 Sn 0.000 0.250 0.500
Pd1 Pd 0.000 0.500 0.250
```

***

No. 8
Entry from Alexandria via LeMat-Bulk: crystalline Er2SnPd8 at its relaxed geometry (PBE-GGA).

Computed properties:
Total moment = 0.00 Bohr magnetons per cell
V = 18.2 A^3/atom
Final energy = -5.644 eV per atom

```
data_Er2SnPd8
_space_group_name_H-M_alt 'C 1 2/m 1'
_space_group_IT_number 12
_cell_length_a 15.514
_cell_length_b 4.666
_cell_length_c 5.978
_cell_angle_alpha 90.00
_cell_angle_beta 112.58
_cell_angle_gamma 90.00
loop_
_space_group_symop_operation_xyz
'x,y,z'
'-x,-y,-z'
'-x,y,-z'
'x,-y,z'
'x+1/2,y+1/2,z'
'-x+1/2,-y+1/2,-z'
'-x+1/2,y+1/2,-z'
'x+1/2,-y+1/2,z'
loop_
_atom_site_label
_atom_site_type_symbol
_atom_site_fract_x
_atom_site_fract_y
_atom_site_fract_z
Er1 Er 0.189 0.000 0.189
Sn1 Sn 0.000 0.500 0.500
Pd1 Pd 0.000 0.000 0.243
Pd2 Pd 0.142 0.500 0.379
Pd3 Pd 0.142 0.500 0.905
Pd4 Pd 0.180 0.000 0.680
```

***

No. 9
Entry from Alexandria via LeMat-Bulk: crystalline Er2SnPd4 at its relaxed geometry (PBE-GGA).

Computed properties:
Total moment = 0.00 Bohr magnetons per cell
E above lowest polymorph = 0.579 eV per atom
V = 24.4 A^3/atom
Final energy = -5.080 eV per atom

```
data_Er2SnPd4
_space_group_name_H-M_alt 'I 4/m m m'
_space_group_IT_number 139
_space_group_name_Hall '-I 4 2'
_cell_length_a 4.902
_cell_length_b 4.902
_cell_length_c 14.221
_cell_angle_alpha 90.00
_cell_angle_beta 90.00
_cell_angle_gamma 90.00
loop_
_atom_site_label
_atom_site_type_symbol
_atom_site_fract_x
_atom_site_fract_y
_atom_site_fract_z
Er1 Er 0.000 0.000 0.130
Sn1 Sn 0.000 0.000 0.500
Pd1 Pd 0.000 0.000 0.313
Pd2 Pd 0.000 0.500 0.000
```

***

No. 10
Entry from Alexandria via LeMat-Bulk: crystalline ErSn2Pd7 at its relaxed geometry (PBE-GGA).

Computed properties:
Total moment = 0.00 Bohr magnetons per cell
E above lowest polymorph = 0.000 eV per atom
V = 18.8 A^3/atom
Final energy = -5.506 eV per atom

```
data_ErSn2Pd7
_space_group_name_H-M_alt 'I 4/m m m'
_space_group_IT_number 139
_space_group_name_Hall '-I 4 2'
_cell_length_a 4.102
_cell_length_b 4.102
_cell_length_c 22.314
_cell_angle_alpha 90.00
_cell_angle_beta 90.00
_cell_angle_gamma 90.00
loop_
_atom_site_label
_atom_site_type_symbol
_atom_site_fract_x
_atom_site_fract_y
_atom_site_fract_z
Er1 Er 0.000 0.000 0.000
Sn1 Sn 0.000 0.000 0.329
Pd1 Pd 0.000 0.000 0.500
Pd2 Pd 0.000 0.500 0.092
Pd3 Pd 0.000 0.500 0.250
```

***

No. 11
Entry from Alexandria via LeMat-Bulk: crystalline ErSn2Pd8 at its relaxed geometry (PBE-GGA).

Computed properties:
Total moment = 0.00 Bohr magnetons per cell
V = 18.0 A^3/atom
Final energy = -5.416 eV per atom

```
data_ErSn2Pd8
_space_group_name_H-M_alt 'C 1 2/m 1'
_space_group_IT_number 12
_cell_length_a 7.466
_cell_length_b 12.394
_cell_length_c 4.817
_cell_angle_alpha 90.00
_cell_angle_beta 117.32
_cell_angle_gamma 90.00
loop_
_space_group_symop_operation_xyz
'x,y,z'
'-x,-y,-z'
'-x,y,-z'
'x,-y,z'
'x+1/2,y+1/2,z'
'-x+1/2,-y+1/2,-z'
'-x+1/2,y+1/2,-z'
'x+1/2,-y+1/2,z'
loop_
_atom_site_label
_atom_site_type_symbol
_atom_site_fract_x
_atom_site_fract_y
_atom_site_fract_z
Er1 Er 0.000 0.000 0.000
Sn1 Sn 0.000 0.310 0.500
Pd1 Pd 0.000 0.222 0.000
Pd2 Pd 0.090 0.500 0.815
Pd3 Pd 0.206 0.116 0.628
```

***

What is the formula in the eleventh record? ErSn2Pd8

***

Look up the final energy of the first one. -4.736 eV per atom

***

V of number 4 (Er2Sn2Pd5)? 21.0 A^3/atom